Entry from Alexandria: crystalline TaMo2Pb at its relaxed geometry (PBE).

abc: 2.978 2.978 9.105
angles: 90.00 90.00 111.73
Fractional coordinates of all 4 atoms:
Mo (0.000, 0.000, 0.983)
Mo (0.000, 0.000, 0.517)
Pb (0.500, 0.500, 0.250)
Ta (0.500, 0.500, 0.750)

Magnetic moment   0.00 μB per formula unit
DOS(E_F)   0.66 states/eV/atom
Calculated total energy   -8.9195 eV/atom
Space group   No. 65

***

Entry from Alexandria: crystalline CoSiAg2 at its relaxed geometry (PBE).

abc: 4.767 2.783 4.585
angles: 87.93 90.00 90.00
Last column: magnetic moment on the atom in μB.
Fractional coordinates of all 4 atoms:
Ag (0.000, 0.988, 0.001)  0.00
Ag (0.000, 0.512, 0.499)  0.00
Co (0.500, 0.250, 0.250)  1.21
Si (0.500, 0.750, 0.750)  -0.01

Magnetic moment   1.17 μB per formula unit
DOS(E_F)   0.77 states/eV/atom
Calculated total energy   -4.2132 eV/atom
Space group   No. 10

***

Question: magnetic moment of number 1 (TaMo2Pb)?
Answer: 0.00 μB per formula unit

***

Question: Number 2 is which compound?
Answer: CoSiAg2